No. 1
Entry from Alexandria: GaCoTe3 after structural relaxation (PBE).

```
data_GaCoTe3
_chemical_formula_sum 'Ga1 Co1 Te3'
_cell_length_a 5.338
_cell_length_b 5.338
_cell_length_c 5.338
_cell_angle_alpha 90.00
_cell_angle_beta 90.00
_cell_angle_gamma 90.00
_symmetry_space_group_name_H-M 'P m -3 m'
_symmetry_Int_Tables_number 221
_symmetry_space_group_name_Hall '-P 4 2 3'
loop_
_atom_site_label
_atom_site_fract_x
_atom_site_fract_y
_atom_site_fract_z
_atom_site_occupancy
Ga1 0.000 0.000 0.000 1
Co1 0.500 0.500 0.500 1
Te1 0.000 0.000 0.500 1
```

Properties
formation energy (no corrections) = 0.950 eV per atom
crystal system = cubic
polymorph energy (0 for the lowest one) = 3.25 eV per formula unit

=====

No. 2
Entry from Alexandria: GaCo3Te after structural relaxation (PBE).

```
data_GaCo3Te
_chemical_formula_sum 'Ga1 Co3 Te1'
_cell_length_a 4.396
_cell_length_b 4.396
_cell_length_c 4.396
_cell_angle_alpha 90.00
_cell_angle_beta 90.00
_cell_angle_gamma 90.00
_symmetry_space_group_name_H-M 'P m -3 m'
_symmetry_Int_Tables_number 221
_symmetry_space_group_name_Hall '-P 4 2 3'
loop_
_atom_site_label
_atom_site_fract_x
_atom_site_fract_y
_atom_site_fract_z
_atom_site_occupancy
Ga1 0.000 0.000 0.000 1
Co1 0.000 0.000 0.500 1
Te1 0.500 0.500 0.500 1
```

Properties
formation energy (no corrections) = 0.817 eV per atom
crystal system = cubic
polymorph energy (0 for the lowest one) = 0.00 eV per formula unit

=====

No. 3
Entry from Alexandria: Ga2Co2Te after structural relaxation (PBE).

```
data_Ga2Co2Te
_chemical_formula_sum 'Ga4 Co4 Te2'
_cell_length_a 7.175
_cell_length_b 7.175
_cell_length_c 2.912
_cell_angle_alpha 90.00
_cell_angle_beta 90.00
_cell_angle_gamma 90.00
_symmetry_space_group_name_H-M 'P 4/m b m'
_symmetry_Int_Tables_number 127
_symmetry_space_group_name_Hall '-P 4 2ab'
loop_
_atom_site_label
_atom_site_fract_x
_atom_site_fract_y
_atom_site_fract_z
_atom_site_occupancy
Ga1 0.134 0.366 0.000 1
Co1 0.160 0.660 0.500 1
Te1 0.000 0.000 0.500 1
```

Properties
formation energy (no corrections) = 0.007 eV per atom
crystal system = tetragonal
polymorph energy (0 for the lowest one) = 0.00 eV per formula unit

=====

No. 4
Entry from Alexandria: Ga2Co2Te after structural relaxation (PBE).

```
data_Ga2Co2Te
_chemical_formula_sum 'Ga4 Co4 Te2'
_cell_length_a 7.351
_cell_length_b 7.351
_cell_length_c 2.843
_cell_angle_alpha 90.00
_cell_angle_beta 90.00
_cell_angle_gamma 90.00
_symmetry_space_group_name_H-M 'P 4/m b m'
_symmetry_Int_Tables_number 127
_symmetry_space_group_name_Hall '-P 4 2ab'
loop_
_atom_site_label
_atom_site_fract_x
_atom_site_fract_y
_atom_site_fract_z
_atom_site_occupancy
Ga1 0.131 0.369 0.000 1
Co1 0.159 0.659 0.500 1
Te1 0.000 0.000 0.000 1
```

Properties
formation energy (no corrections) = 0.218 eV per atom
crystal system = tetragonal
polymorph energy (0 for the lowest one) = 1.06 eV per formula unit

=====

No. 5
Entry from Alexandria: Ga2CoTe after structural relaxation (PBE).

```
data_Ga2CoTe
_chemical_formula_sum 'Ga8 Co4 Te4'
_cell_length_a 4.623
_cell_length_b 4.623
_cell_length_c 15.891
_cell_angle_alpha 90.00
_cell_angle_beta 90.00
_cell_angle_gamma 90.00
_symmetry_space_group_name_H-M 'I -4 2 d'
_symmetry_Int_Tables_number 122
_symmetry_space_group_name_Hall 'I -4 2bw'
loop_
_atom_site_label
_atom_site_fract_x
_atom_site_fract_y
_atom_site_fract_z
_atom_site_occupancy
Ga1 0.129 0.250 0.125 1
Co1 0.000 0.000 0.000 1
Te1 0.000 0.000 0.500 1
```

Properties
formation energy (no corrections) = 0.159 eV per atom
crystal system = tetragonal

=====

No. 6
Entry from Alexandria: GaCoTe3 after structural relaxation (PBE).

```
data_GaCoTe3
_chemical_formula_sum 'Ga1 Co1 Te3'
_cell_length_a 5.128
_cell_length_b 5.128
_cell_length_c 5.128
_cell_angle_alpha 90.00
_cell_angle_beta 90.00
_cell_angle_gamma 90.00
_symmetry_space_group_name_H-M 'P m -3 m'
_symmetry_Int_Tables_number 221
_symmetry_space_group_name_Hall '-P 4 2 3'
loop_
_atom_site_label
_atom_site_fract_x
_atom_site_fract_y
_atom_site_fract_z
_atom_site_occupancy
Ga1 0.000 0.000 0.000 1
Co1 0.500 0.500 0.500 1
Te1 0.000 0.500 0.500 1
```

Properties
formation energy (no corrections) = 0.300 eV per atom
crystal system = cubic
polymorph energy (0 for the lowest one) = 0.00 eV per formula unit

=====

VASP energy (computed, eV per atom): -2.96 -4.68 -4.67 -4.46 -3.92 -3.61
Size of the total moment (computed, μB per cell): 2.6 3.7 0.0 0.0 4.0 1.4